# Y8BiTe4Se3 | Alexandria via LeMat-Bulk | PBE-GGA | relaxed
data_Y8BiTe4Se3
_chemical_formula_sum 'Y24 Bi3 Te12 Se9'
_cell_length_a 8.5361
_cell_length_b 8.5361
_cell_length_c 21.1554
_cell_angle_alpha 90.00
_cell_angle_beta 90.00
_cell_angle_gamma 120.00
_space_group_name_H-M_alt 'R -3 m'
_space_group_IT_number 166
_space_group_name_Hall '-R 3 2"'
loop_
_atom_site_label
_atom_site_fract_x
_atom_site_fract_y
_atom_site_fract_z
Y1 0.0000 0.0000 0.2385
Y2 0.0181 0.5091 0.7583
Bi1 0.0000 0.0000 0.5000
Te1 0.0000 0.0000 0.0000
Te2 0.0000 0.5000 0.0000
Se1 0.0000 0.5000 0.5000
# total magnetic moment = 0.00 μB per cell
# uncorrected formation energy = -23.0 eV per formula unit